## AcTbDy3Er (PBE-GGA)

Data for a relaxed structure of AcTbDy3Er.

Geometry as POSCAR:
```
AcTbDy3Er
1.0
-2.634 -0.911 -4.874
-1.580 -8.297 5.640
-6.342 3.238 2.822
Ac Tb Dy Er
2 2 6 2
Cartesian
-8.296 -3.177 5.078 Ac
-2.260 -2.794 -1.490 Ac
-2.262 0.057 1.212 Tb
-8.294 -6.027 2.376 Tb
-5.128 -5.374 0.542 Dy
-7.702 -2.902 1.472 Dy
-4.671 -7.338 3.897 Dy
-2.854 -3.068 2.116 Dy
-5.885 1.367 -0.309 Dy
-5.428 -0.596 3.045 Dy
-5.051 -1.715 -0.183 Er
-5.505 -4.255 3.771 Er
```

Summary:
V	34.97	A^3/atom
total moment	0.0	μB/f.u.
space group	C2/m, No. 12
DFT formation energy	0.24	eV per atom



## AcTb2DyEr (PBE-GGA)

Data for a relaxed structure of AcTb2DyEr.

Geometry as POSCAR:
```
AcTb2DyEr
1.0
-4.906 2.279 2.117
1.526 -4.615 8.505
2.747 5.732 0.195
Ac Tb Dy Er
2 4 2 2
Cartesian
1.601 5.636 1.628 Ac
-2.234 -2.240 9.189 Ac
-1.432 0.973 7.589 Tb
0.799 2.423 3.228 Tb
-0.629 4.200 5.977 Tb
-0.005 -0.804 4.840 Tb
1.158 -1.413 8.191 Dy
-1.791 4.809 2.627 Dy
1.900 1.735 6.521 Er
-2.533 1.661 4.296 Er
```

Summary:
V	34.15	A^3/atom
total moment	0.0	μB/f.u.
space group	P2_1/m, No. 11
DFT formation energy	0.04	eV per atom



## AcTb3Dy6Er2 (PBE-GGA)

Data for a relaxed structure of AcTb3Dy6Er2.

Geometry as POSCAR:
```
AcTb3Dy6Er2
1.0
6.189 0.001 0.014
-3.092 5.361 0.014
-1.054 -1.824 11.670
Ac Tb Dy Er
1 3 6 2
Cartesian
0.000 0.000 0.000 Ac
-2.068 3.553 5.849 Tb
4.111 -0.016 5.849 Tb
1.021 1.769 5.849 Tb
3.086 1.739 8.732 Dy
2.051 3.550 2.982 Dy
-1.044 1.798 2.965 Dy
-0.036 3.542 8.732 Dy
-0.008 -0.013 8.716 Dy
2.079 -0.005 2.965 Dy
0.001 3.574 0.014 Er
3.095 1.787 0.014 Er
```

Summary:
V	32.30	A^3/atom
total moment	0.0	μB/f.u.
space group	C2/m, No. 12
DFT formation energy	0.03	eV per atom



## AcTb3DyEr (PBE-GGA)

Data for a relaxed structure of AcTb3DyEr.

Geometry as POSCAR:
```
AcTb3DyEr
1.0
-3.689 3.283 2.173
5.133 -4.910 9.434
4.943 4.853 1.059
Ac Tb Dy Er
2 6 2 2
Cartesian
7.311 2.330 8.892 Ac
-0.924 0.897 3.774 Ac
1.658 0.928 8.111 Tb
3.959 3.770 7.723 Tb
4.548 -1.753 10.369 Tb
2.428 -0.544 4.943 Tb
1.839 4.979 2.297 Tb
4.729 2.298 4.555 Tb
2.412 1.391 1.993 Dy
3.975 1.835 10.673 Dy
1.614 2.862 5.114 Er
4.773 0.365 7.552 Er
```

Summary:
V	35.85	A^3/atom
total moment	0.0	μB/f.u.
space group	C2/m, No. 12
DFT formation energy	0.22	eV per atom



## AcTbDy6Er2 (PBE-GGA)

Data for a relaxed structure of AcTbDy6Er2.

Geometry as POSCAR:
```
AcTbDy6Er2
1.0
9.062 -1.953 -2.027
0.990 8.592 -2.025
0.990 -2.342 8.511
Ac Tb Dy Er
2 2 12 4
Cartesian
3.255 7.763 -2.203 Ac
7.787 -3.466 6.662 Ac
3.255 1.675 3.663 Tb
7.787 2.621 0.797 Tb
1.389 -0.783 6.025 Dy
5.122 -0.777 6.031 Dy
9.653 5.079 -1.566 Dy
5.920 5.074 -1.572 Dy
4.316 6.806 1.147 Dy
2.195 4.379 -1.371 Dy
6.726 -2.509 3.312 Dy
8.847 -0.082 5.830 Dy
2.238 4.745 2.482 Dy
4.273 2.969 0.639 Dy
8.804 -0.448 1.977 Dy
6.769 1.328 3.820 Dy
5.551 4.369 3.296 Er
0.960 2.141 0.984 Er
5.491 -0.072 1.163 Er
10.082 2.155 3.475 Er
```

Summary:
V	33.10	A^3/atom
total moment	0.0	μB/f.u.
space group	C2/c, No. 15
DFT formation energy	0.13	eV per atom



## AcTbDyEr (PBE-GGA)

Data for a relaxed structure of AcTbDyEr.

Geometry as POSCAR:
```
AcTbDyEr
1.0
5.814 0.000 0.000
2.907 5.035 0.000
2.907 1.678 4.747
Ac Dy Tb Er
1 1 1 1
Cartesian
8.721 5.035 3.560 Ac
0.000 0.000 0.000 Dy
2.907 1.678 1.187 Tb
5.814 3.357 2.374 Er
```

Summary:
V	34.74	A^3/atom
total moment	0.0	μB/f.u.
space group	F-43m, No. 216
DFT formation energy	0.13	eV per atom
relative energy among the computed polymorphs	63	meV per atom



## AcTb6DyEr2 (PBE-GGA)

Data for a relaxed structure of AcTb6DyEr2.

Geometry as POSCAR:
```
AcTb6DyEr2
1.0
9.093 -1.972 -2.046
0.985 8.607 -2.025
0.985 -2.343 8.526
Ac Tb Dy Er
2 12 2 4
Cartesian
3.258 7.782 -2.217 Ac
7.805 -3.489 6.672 Ac
1.378 -0.785 6.035 Tb
5.138 -0.781 6.039 Tb
9.685 5.078 -1.580 Tb
5.924 5.074 -1.584 Tb
4.315 6.825 1.148 Tb
2.201 4.384 -1.385 Tb
6.748 -2.532 3.307 Tb
8.861 -0.091 5.840 Tb
2.242 4.747 2.489 Tb
4.274 2.967 0.643 Tb
8.820 -0.454 1.966 Tb
6.789 1.326 3.813 Tb
3.258 1.676 3.668 Dy
7.805 2.617 0.787 Dy
5.560 4.364 3.297 Er
0.956 2.146 0.995 Er
5.502 -0.071 1.158 Er
10.107 2.147 3.460 Er
```

Summary:
V	33.34	A^3/atom
total moment	0.0	μB/f.u.
space group	C2/c, No. 15
DFT formation energy	0.13	eV per atom



## Ac2DyErTe5 (PBE-GGA)

Data for a relaxed structure of Ac2DyErTe5.

Geometry as POSCAR:
```
Ac2DyErTe5
1.0
5.484 0.000 0.000
0.000 5.484 0.000
0.000 0.000 11.628
Ac Dy Er Te
2 1 1 5
Cartesian
2.742 2.742 3.455 Ac
2.742 2.742 8.173 Ac
0.000 0.000 0.000 Dy
0.000 0.000 5.814 Er
0.000 2.742 5.814 Te
2.742 0.000 5.814 Te
0.000 0.000 8.777 Te
0.000 0.000 2.851 Te
2.742 2.742 0.000 Te
```

Summary:
uncorrected formation energy	-1001	meV per atom
V	38.86	A^3/atom
total moment	0.0	μB/f.u.
space group	P4/mmm, No. 123



What did the sixth record say?
## AcTbDyEr (PBE-GGA)

Data for a relaxed structure of AcTbDyEr.

Geometry as POSCAR:
```
AcTbDyEr
1.0
5.814 0.000 0.000
2.907 5.035 0.000
2.907 1.678 4.747
Ac Dy Tb Er
1 1 1 1
Cartesian
8.721 5.035 3.560 Ac
0.000 0.000 0.000 Dy
2.907 1.678 1.187 Tb
5.814 3.357 2.374 Er
```

Summary:
V	34.74	A^3/atom
total moment	0.0	μB/f.u.
space group	F-43m, No. 216
DFT formation energy	0.13	eV per atom
relative energy among the computed polymorphs	63	meV per atom